DFT (PBE-GGA) results for Pt2WSe after structural relaxation.

Lattice parameters (Å, degrees): 9.6037 9.6037 9.6037 17.09 17.09 17.09
Closest atoms and distances in Å follow each position.
Positions (direct):
Pt1 0.0057 0.0057 0.0057  3 W 2.75, 6 Pt 2.85, 3 Se 3.02
Pt2 0.4943 0.4943 0.4943  3 W 2.75, 6 Pt 2.85, 3 Se 3.02
W1 0.7500 0.7500 0.7500  6 Pt 2.75, 6 W 2.85
Se1 0.2500 0.2500 0.2500  6 Se 2.85, 6 Pt 3.02

Uncorrected energy, eV/atom: -7.035
Magnetic moment, μB per atom: 0.000
Uncorrected formation energy, meV per atom: 95
Crystal system: trigonal


DFT (PBE-GGA) results for BaNaTlAu after structural relaxation.

Lattice parameters (Å, degrees): 5.5993 5.5993 5.5993 60.00 60.00 60.00
Closest atoms and distances in Å follow each position.
Positions (direct):
Tl1 0.5000 0.5000 0.5000  4 Na 3.43, 4 Ba 3.43
Na1 0.2500 0.2500 0.2500  4 Au 3.43, 4 Tl 3.43
Au1 0.0000 0.0000 0.0000  4 Ba 3.43, 4 Na 3.43
Ba1 0.7500 0.7500 0.7500  4 Au 3.43, 4 Tl 3.43

Uncorrected energy, eV/atom: -2.531
Magnetic moment, μB per atom: 0.000
E_form, eV/f.u.: -1.24
Crystal system: cubic


DFT (PBE-GGA) results for YGa2Se after structural relaxation.

Lattice parameters (Å, degrees): 8.0818 8.0818 6.3779 50.69 50.69 90.00
Closest atoms and distances in Å follow each position.
Positions (direct):
Y1 0.0000 0.0000 0.0000  2 Se 2.83, 4 Ga 3.07
Y2 0.7500 0.2500 0.5000  2 Se 2.83, 4 Ga 3.07
Se1 0.2500 0.7500 0.5000  4 Ga 2.82, 2 Y 2.83
Se2 0.5000 0.5000 0.0000  4 Ga 2.82, 2 Y 2.83
Ga1 0.3750 0.3976 0.7500  2 Se 2.82, 2 Ga 2.86, 2 Y 3.07
Ga2 0.6024 0.1250 0.2500  2 Se 2.82, 2 Ga 2.86, 2 Y 3.07
Ga3 0.1476 0.6250 0.2500  2 Se 2.82, 2 Ga 2.86, 2 Y 3.07
Ga4 0.8750 0.8524 0.7500  2 Se 2.82, 2 Ga 2.86, 2 Y 3.07

Uncorrected energy, eV/atom: -4.458
Magnetic moment, μB per atom: 0.000
Uncorrected formation energy, meV per atom: -458
Crystal system: tetragonal


DFT (PBE-GGA) results for Ta2OsCl after structural relaxation.

Lattice parameters (Å, degrees): 5.5892 5.5892 5.5892 141.19 141.19 56.05
Closest atoms and distances in Å follow each position.
Positions (direct):
Ta1 0.0000 0.0000 0.0000  4 Cl 2.63
Ta2 0.2500 0.7500 0.5000  4 Os 2.63
Os1 0.7500 0.2500 0.5000  4 Ta 2.63
Cl1 0.5000 0.5000 0.0000  4 Ta 2.63

Uncorrected energy, eV/atom: -8.509
Magnetic moment, μB per atom: 0.000
Energy relative to the lowest polymorph listed for this composition, meV per atom: 777
Uncorrected formation energy, meV per atom: 686
Crystal system: tetragonal


DFT (PBE-GGA) results for LiAl2Se after structural relaxation.

Lattice parameters (Å, degrees): 4.6726 4.6726 5.7042 108.53 108.53 44.76
Closest atoms and distances in Å follow each position.
Positions (direct):
Al1 0.7857 0.7857 0.7983  3 Al 2.59-2.72, 2 Se 2.66
Al2 0.1050 0.1050 0.9560  1 Se 2.58, 3 Al 2.59-2.72, 1 Li 2.89
Li1 0.4374 0.4374 0.3120  3 Se 2.60-2.62, 1 Al 2.89
Se1 0.1719 0.1719 0.4338  3 Al 2.58-2.66, 3 Li 2.60-2.62

Uncorrected energy, eV/atom: -3.598
Magnetic moment, μB per atom: 0.000
Uncorrected formation energy, meV per atom: -377
Crystal system: monoclinic


DFT (PBE-GGA) results for Pm9In2Hg after structural relaxation.

Lattice parameters (Å, degrees): 4.9461 4.9461 14.7856 90.00 90.00 90.00
Closest atoms and distances in Å follow each position.
Positions (direct):
Pm1 0.5000 0.0000 0.8347  8 Pm 3.48-3.50, 2 Hg 3.48, 2 In 3.50
Pm2 0.5000 0.5000 0.3304  8 Pm 3.48-3.52, 4 In 3.50
Pm3 0.5000 0.0000 0.5000  4 In 3.50, 8 Pm 3.50-3.52
Pm4 0.0000 0.5000 0.1653  8 Pm 3.48-3.50, 2 Hg 3.48, 2 In 3.50
Pm5 0.0000 0.5000 0.8347  8 Pm 3.48-3.50, 2 Hg 3.48, 2 In 3.50
Pm6 0.5000 0.5000 0.6696  8 Pm 3.48-3.52, 4 In 3.50
Pm7 0.5000 0.5000 0.0000  8 Pm 3.48, 4 Hg 3.50
Pm8 0.0000 0.5000 0.5000  4 In 3.50, 8 Pm 3.50-3.52
Pm9 0.5000 0.0000 0.1653  8 Pm 3.48-3.50, 2 Hg 3.48, 2 In 3.50
In1 0.0000 0.0000 0.3328  12 Pm 3.50
In2 0.0000 0.0000 0.6672  12 Pm 3.50
Hg1 0.0000 0.0000 0.0000  12 Pm 3.48-3.50

Uncorrected energy, eV/atom: -4.283
Magnetic moment, μB per atom: 0.028
E_form, eV/f.u.: -2.86
Crystal system: tetragonal


DFT (PBE-GGA) results for HfCu2Se4 after structural relaxation.

Lattice parameters (Å, degrees): 3.6731 6.7070 11.7585 90.00 90.00 105.89
Closest atoms and distances in Å follow each position.
Positions (direct):
Hf1 0.6051 0.2102 0.7500  6 Se 2.72-2.74
Hf2 0.3949 0.7898 0.2500  6 Se 2.72-2.74
Cu1 0.8741 0.7481 0.5657  4 Se 2.37-2.57
Cu2 0.8741 0.7481 0.9343  4 Se 2.37-2.57
Cu3 0.1259 0.2519 0.4343  4 Se 2.37-2.57
Cu4 0.1259 0.2519 0.0657  4 Se 2.37-2.57
Se1 0.5000 0.0000 0.5000  4 Cu 2.57
Se2 0.0509 0.1018 0.2500  2 Cu 2.37
Se3 0.2064 0.4128 0.8822  1 Cu 2.39
Se4 0.7936 0.5872 0.1178  1 Cu 2.39
Se5 0.7936 0.5872 0.3822  1 Cu 2.39
Se6 0.9491 0.8982 0.7500  2 Cu 2.37
Se7 0.2064 0.4128 0.6178  1 Cu 2.39
Se8 0.5000 0.0000 0.0000  4 Cu 2.57

Uncorrected energy, eV/atom: -5.115
Magnetic moment, μB per atom: 0.000
Uncorrected formation energy, meV per atom: -532
Crystal system: orthorhombic


DFT (PBE-GGA) results for BaBiCl2 after structural relaxation.

Lattice parameters (Å, degrees): 12.3309 12.3309 12.3309 20.51 20.51 20.51
Closest atoms and distances in Å follow each position.
Positions (direct):
Cl1 0.1207 0.1207 0.1207  3 Ba 3.03
Cl2 0.8793 0.8793 0.8793  3 Ba 3.03
Bi1 0.0000 0.0000 0.0000  2 Cl 4.37, 6 Bi 4.39
Ba1 0.5000 0.5000 0.5000  6 Cl 3.03

Uncorrected energy, eV/atom: -3.648
Magnetic moment, μB per atom: 0.263
Energy relative to the lowest polymorph listed for this composition, meV per atom: 0
Uncorrected formation energy, meV per atom: -1274
Crystal system: trigonal


In order of appearance, theoretical density = 16.3 7.5 5.5 14.3 2.8 8.0 7.4 3.4 g/cm³.